Compound: LaPm5Tm
Source: the Alexandria database
Functional: PBE
Structure: relaxed

Cell lengths 9.917, 6.631, 12.076 Å; angles 74.72, 90.00, 138.40 degrees
Element x y z (fractional)
La  0.503  0.000  0.250
La  0.497  0.000  0.750
Pm  0.024  0.414  0.162
Pm  0.768  0.231  0.464
Pm  0.390  0.414  0.662
Pm  0.152  0.000  0.250
Pm  0.536  0.769  0.036
Pm  0.464  0.231  0.964
Pm  0.848  0.000  0.750
Pm  0.610  0.586  0.338
Pm  0.232  0.769  0.536
Pm  0.976  0.586  0.838
Tm  0.000  0.000  0.000
Tm  0.000  0.000  0.500

Output
Fermi-level density of states	20.93	states/eV per cell
DFT total energy	-64.9	eV for the cell shown


Compound: LaPm3Tm7
Source: the Alexandria database
Functional: PBE
Structure: relaxed

Cell lengths 5.506, 9.942, 8.877 Å; angles 105.32, 128.31, 90.03 degrees
Element x y z (fractional)
La  0.500  0.500  0.500
Pm  0.282  0.998  0.783
Pm  0.000  0.500  0.000
Pm  0.718  0.002  0.217
Tm  0.922  0.831  0.922
Tm  0.855  0.712  0.355
Tm  0.677  0.359  0.176
Tm  0.323  0.641  0.824
Tm  0.500  0.000  0.500
Tm  0.145  0.288  0.645
Tm  0.078  0.169  0.078

Output
Fermi-level density of states	17.35	states/eV per cell
polymorph energy (0 for the lowest one)	0	meV/atom


Compound: La2Pm2Tm7
Source: the Alexandria database
Functional: PBE
Structure: relaxed

Cell lengths 8.094, 10.436, 8.094 Å; angles 126.24, 88.61, 53.76 degrees
Element x y z (fractional)
La  0.211  0.687  0.789
La  0.789  0.313  0.211
Pm  0.708  0.000  0.708
Pm  0.292  0.000  0.292
Tm  0.233  0.679  0.245
Tm  0.755  0.679  0.767
Tm  0.657  0.073  0.343
Tm  0.000  0.500  0.000
Tm  0.343  0.927  0.657
Tm  0.767  0.321  0.755
Tm  0.245  0.321  0.233

Output
Fermi-level density of states	17.90	states/eV per cell
polymorph energy (0 for the lowest one)	0	meV/atom


Compound: La3Pm6Tm
Source: the Alexandria database
Functional: PBE
Structure: relaxed

Cell lengths 6.379, 10.617, 10.617 Å; angles 100.81, 90.00, 90.00 degrees
Element x y z (fractional)
La  0.454  0.866  0.720
La  0.954  0.720  0.866
La  0.089  0.364  0.636
La  0.589  0.636  0.364
La  0.954  0.134  0.280
La  0.454  0.280  0.134
Pm  0.073  0.679  0.560
Pm  0.573  0.560  0.679
Pm  0.405  0.567  0.986
Pm  0.905  0.986  0.567
Pm  0.234  0.939  0.061
Pm  0.616  0.258  0.742
Pm  0.116  0.742  0.258
Pm  0.734  0.061  0.939
Pm  0.405  0.014  0.433
Pm  0.905  0.433  0.014
Pm  0.073  0.440  0.321
Pm  0.573  0.321  0.440
Tm  0.182  0.153  0.847
Tm  0.682  0.847  0.153

Output
Fermi-level density of states	28.64	states/eV per cell
DFT total energy	-92.1	eV for the cell shown